<P>
A plane-wave DFT calculation with PBE-GGA was carried out for a geometry-optimized LiPaTe3 structure.

Cell lengths 4.1734, 14.2384, 9.7133 Å; angles 90.00, 90.00, 90.00 degrees
With the nearest neighbours (Å) after each atom.
Positions (direct):
1 Te 0.2500 0.8997 0.0632  2 Li 3.04, 3 Pa 3.12-3.35
2 Te 0.7500 0.3997 0.4368  2 Li 3.04, 3 Pa 3.12-3.35
3 Te 0.2500 0.3436 0.7500  2 Li 2.77, 2 Pa 3.03
4 Te 0.7500 0.1003 0.9368  2 Li 3.04, 3 Pa 3.12-3.35
5 Te 0.7500 0.8436 0.7500  2 Li 2.77, 2 Pa 3.03
6 Te 0.2500 0.6003 0.5632  2 Li 3.04, 3 Pa 3.12-3.35
7 Te 0.7500 0.1004 0.5632  2 Li 3.05, 3 Pa 3.12-3.35
8 Te 0.2500 0.1564 0.2500  2 Li 2.77, 2 Pa 3.03
9 Te 0.2500 0.6004 0.9368  2 Li 3.05, 3 Pa 3.12-3.35
10 Te 0.2500 0.8996 0.4368  2 Li 3.05, 3 Pa 3.12-3.35
11 Te 0.7500 0.3996 0.0632  2 Li 3.05, 3 Pa 3.12-3.35
12 Te 0.7500 0.6564 0.2500  2 Li 2.77, 2 Pa 3.03
13 Li 0.7500 0.7498 0.5002  6 Te 2.77-3.05
14 Li 0.2500 0.2498 0.9998  6 Te 2.77-3.05
15 Li 0.2500 0.2502 0.4998  6 Te 2.77-3.05
16 Li 0.7500 0.7502 0.0002  6 Te 2.77-3.05
17 Pa 0.7500 0.0017 0.2501  8 Te 3.03-3.35
18 Pa 0.2500 0.9983 0.7499  8 Te 3.03-3.35
19 Pa 0.7500 0.4983 0.7501  8 Te 3.03-3.35
20 Pa 0.2500 0.5017 0.2499  8 Te 3.03-3.35

- Magnetic moment: 0.6 Bohr magnetons per cell

=====

<Q>
A plane-wave DFT calculation with PBE-GGA was carried out for a geometry-optimized LiPaTe3 structure.

Cell lengths 4.9374, 7.7404, 11.3587 Å; angles 101.16, 90.00, 108.60 degrees
With the nearest neighbours (Å) after each atom.
Positions (direct):
1 Te 0.7383 0.4765 0.3468  1 Li 2.78, 1 Pa 2.79
2 Te 0.6319 0.2638 0.9696  3 Li 2.95-3.16, 2 Pa 3.02-3.08
3 Te 0.0083 0.0166 0.3160  1 Li 2.94, 2 Pa 2.97
4 Te 0.2617 0.5235 0.6532  1 Li 2.78, 1 Pa 2.79
5 Te 0.3681 0.7362 0.0304  3 Li 2.95-3.16, 2 Pa 3.02-3.08
6 Te 0.9917 0.9834 0.6840  1 Li 2.94, 2 Pa 2.97
7 Pa 0.4394 0.8789 0.7993  5 Te 2.79-3.08
8 Pa 0.5606 0.1211 0.2007  5 Te 2.79-3.08
9 Li 0.8259 0.6517 0.1512  4 Te 2.78-2.95
10 Li 0.1741 0.3483 0.8488  4 Te 2.78-2.95

- Magnetic moment: 0.0 Bohr magnetons per cell

=====

<P> is the most stable structure; the next one sits 26.9 kJ/mol of atoms above it.

=====

<P>
A plane-wave DFT calculation with PBE-GGA was carried out for a geometry-optimized LiPa2Te5 structure.

Cell lengths 6.0434, 7.5649, 14.6003 Å; angles 90.00, 90.00, 113.54 degrees
With the nearest neighbours (Å) after each atom.
Positions (direct):
1 Pa 0.8512 0.7023 0.4442  6 Te 2.95-3.10
2 Pa 0.1488 0.2977 0.9442  6 Te 2.95-3.10
3 Pa 0.8512 0.7023 0.0558  6 Te 2.95-3.10
4 Pa 0.1488 0.2977 0.5558  6 Te 2.95-3.10
5 Te 0.2286 0.4572 0.7500  2 Pa 3.04, 2 Li 3.09
6 Te 0.3402 0.6803 0.4458  3 Pa 3.03-3.10, 1 Li 3.27
7 Te 0.0504 0.1009 0.1259  2 Pa 2.95-2.98, 1 Li 3.03
8 Te 0.9496 0.8991 0.6259  2 Pa 2.95-2.98, 1 Li 3.03
9 Te 0.7714 0.5428 0.2500  2 Pa 3.04, 2 Li 3.09
10 Te 0.3402 0.6803 0.0542  3 Pa 3.03-3.10, 1 Li 3.27
11 Te 0.0504 0.1009 0.3741  2 Pa 2.95-2.98, 1 Li 3.03
12 Te 0.6598 0.3197 0.9458  3 Pa 3.03-3.10, 1 Li 3.27
13 Te 0.6598 0.3197 0.5542  3 Pa 3.03-3.10, 1 Li 3.27
14 Te 0.9496 0.8991 0.8741  2 Pa 2.95-2.98, 1 Li 3.03
15 Li 0.2255 0.4511 0.2500  6 Te 3.03-3.27
16 Li 0.7745 0.5489 0.7500  6 Te 3.03-3.27

- Magnetic moment: 2.2 Bohr magnetons per cell

=====

<Q>
A plane-wave DFT calculation with PBE-GGA was carried out for a geometry-optimized LiPa2Te5 structure.

Cell lengths 4.4605, 7.1351, 7.1351 Å; angles 90.00, 90.00, 90.00 degrees
With the nearest neighbours (Å) after each atom.
Positions (direct):
1 Te 0.5000 0.0000 0.0000  2 Li 2.23
2 Te 0.0000 0.7233 0.2767  1 Li 2.79
3 Te 0.0000 0.7233 0.7233  1 Li 2.79
4 Te 0.0000 0.2767 0.7233  1 Li 2.79
5 Te 0.0000 0.2767 0.2767  1 Li 2.79
6 Pa 0.5000 0.0000 0.5000  10 Te 3.38-3.57
7 Pa 0.5000 0.5000 0.0000  10 Te 3.38-3.57
8 Li 0.0000 0.0000 0.0000  2 Te 2.23

- Magnetic moment: 2.4 Bohr magnetons per cell

=====

<P> is the most stable structure; the next one sits 43.6 kJ/mol of atoms above it.

=====

<P>
A plane-wave DFT calculation with PBE-GGA was carried out for a geometry-optimized Li3PaTe4 structure.

Cell lengths 6.0321, 8.6117, 10.0694 Å; angles 90.00, 90.00, 90.00 degrees
With the nearest neighbours (Å) after each atom.
Positions (direct):
1 Te 0.5646 0.6662 0.2471  4 Li 2.87-3.02, 1 Pa 2.91
2 Te 0.5646 0.1676 0.5000  4 Li 2.87-3.02, 1 Pa 2.91
3 Te 0.0649 0.8290 0.5000  3 Li 2.89, 2 Pa 3.02
4 Te 0.5649 0.1710 0.0000  3 Li 2.89, 2 Pa 3.02
5 Te 0.5646 0.6662 0.7529  4 Li 2.87-3.02, 1 Pa 2.91
6 Te 0.0646 0.3338 0.2529  4 Li 2.87-3.02, 1 Pa 2.91
7 Te 0.0646 0.3338 0.7471  4 Li 2.87-3.02, 1 Pa 2.91
8 Te 0.0646 0.8324 0.0000  4 Li 2.87-3.02, 1 Pa 2.91
9 Li 0.5639 0.3327 0.2521  5 Te 2.87-3.02
10 Li 0.0639 0.1650 0.5000  5 Te 2.88-3.02
11 Li 0.5639 0.8350 0.0000  5 Te 2.88-3.02
12 Li 0.0639 0.6673 0.7521  5 Te 2.87-3.02
13 Li 0.5639 0.3327 0.7479  5 Te 2.87-3.02
14 Li 0.0639 0.6673 0.2479  5 Te 2.87-3.02
15 Pa 0.5651 0.8298 0.5000  5 Te 2.91-3.02
16 Pa 0.0651 0.1702 0.0000  5 Te 2.91-3.02

- Magnetic moment: 0.0 Bohr magnetons per cell

=====

<Q>
A plane-wave DFT calculation with PBE-GGA was carried out for a geometry-optimized Li3PaTe4 structure.

Cell lengths 7.4552, 7.3740, 8.5924 Å; angles 90.00, 90.00, 110.05 degrees
With the nearest neighbours (Å) after each atom.
Positions (direct):
1 Pa 0.2500 0.0000 0.1456  6 Te 2.93-3.08
2 Pa 0.7500 0.0000 0.8544  6 Te 2.93-3.08
3 Li 0.2500 0.5000 0.3837  6 Te 2.94-3.14
4 Li 0.7500 0.5000 0.6163  6 Te 2.94-3.14
5 Li 0.2500 0.0000 0.6151  6 Te 2.97-3.11
6 Li 0.2500 0.5000 0.8656  6 Te 2.96-3.07
7 Li 0.7500 0.5000 0.1344  6 Te 2.96-3.07
8 Li 0.7500 0.0000 0.3849  6 Te 2.97-3.11
9 Te 0.0020 0.7426 0.3770  1 Pa 2.93, 5 Li 2.94-3.10
10 Te 0.0010 0.7554 0.8830  2 Pa 3.02-3.08, 4 Li 3.05-3.14
11 Te 0.9980 0.2574 0.6230  1 Pa 2.93, 5 Li 2.94-3.10
12 Te 0.4980 0.2574 0.3770  1 Pa 2.93, 5 Li 2.94-3.10
13 Te 0.5010 0.7554 0.1170  2 Pa 3.02-3.08, 4 Li 3.05-3.14
14 Te 0.4990 0.2446 0.8830  2 Pa 3.02-3.08, 4 Li 3.05-3.14
15 Te 0.9990 0.2446 0.1170  2 Pa 3.02-3.08, 4 Li 3.05-3.14
16 Te 0.5020 0.7426 0.6230  1 Pa 2.93, 5 Li 2.94-3.10

- Magnetic moment: 0.0 Bohr magnetons per cell

=====

<Q> is the most stable structure; the next one sits 11.0 kJ/mol of atoms above it.

=====

<P>
A plane-wave DFT calculation with PBE-GGA was carried out for a geometry-optimized LiTh2Pa structure.

Cell lengths 3.3675, 5.6486, 5.6486 Å; angles 90.00, 90.00, 90.00 degrees
With the nearest neighbours (Å) after each atom.
Positions (direct):
1 Th 0.0000 0.5000 0.0000  4 Li 3.29, 4 Pa 3.29, 2 Th 3.37
2 Th 0.0000 0.0000 0.5000  4 Li 3.29, 4 Pa 3.29, 2 Th 3.37
3 Pa 0.5000 0.5000 0.5000  8 Th 3.29, 2 Pa 3.37
4 Li 0.5000 0.0000 0.0000  8 Th 3.29, 2 Li 3.37

- Magnetic moment: 0.0 Bohr magnetons per cell

=====

<Q>
A plane-wave DFT calculation with PBE-GGA was carried out for a geometry-optimized LiTh2Pa structure.

Cell lengths 3.3286, 3.3286, 12.5646 Å; angles 82.39, 82.39, 60.00 degrees
With the nearest neighbours (Å) after each atom.
Positions (direct):
1 Pa 0.5000 0.5000 0.5000  6 Pa 3.33, 6 Th 3.49
2 Th 0.0884 0.0884 0.7349  1 Li 3.29, 6 Th 3.33, 3 Pa 3.49
3 Th 0.9116 0.9116 0.2651  1 Li 3.29, 6 Th 3.33, 3 Pa 3.49
4 Li 0.0000 0.0000 0.0000  2 Th 3.29, 6 Li 3.33

- Magnetic moment: 0.0 Bohr magnetons per cell

=====

<R>
A plane-wave DFT calculation with PBE-GGA was carried out for a geometry-optimized LiTh2Pa structure.

Cell lengths 3.3419, 3.3419, 9.8454 Å; angles 90.00, 90.00, 90.00 degrees
With the nearest neighbours (Å) after each atom.
Positions (direct):
1 Th 0.0000 0.0000 0.7552  4 Th 3.34, 4 Li 3.38, 4 Pa 3.45
2 Th 0.0000 0.0000 0.2448  4 Th 3.34, 4 Li 3.38, 4 Pa 3.45
3 Pa 0.5000 0.5000 0.5000  4 Pa 3.34, 8 Th 3.45
4 Li 0.5000 0.5000 0.0000  4 Li 3.34, 8 Th 3.38

- Magnetic moment: 0.0 Bohr magnetons per cell

=====

<P> is the most stable structure; the next one sits 1.7 kJ/mol of atoms above it.

=====

<P>
A plane-wave DFT calculation with PBE-GGA was carried out for a geometry-optimized LiTm2Pa structure.

Cell lengths 3.2117, 3.2117, 11.8922 Å; angles 82.24, 82.24, 60.00 degrees
With the nearest neighbours (Å) after each atom.
Positions (direct):
1 Li 0.5000 0.5000 0.5000  6 Li 3.21, 6 Tm 3.30
2 Tm 0.0893 0.0893 0.7322  1 Pa 3.15, 6 Tm 3.21, 3 Li 3.30
3 Tm 0.9107 0.9107 0.2678  1 Pa 3.15, 6 Tm 3.21, 3 Li 3.30
4 Pa 0.0000 0.0000 0.0000  2 Tm 3.15, 6 Pa 3.21

- Magnetic moment: 0.0 Bohr magnetons per cell

=====

<Q>
A plane-wave DFT calculation with PBE-GGA was carried out for a geometry-optimized LiTm2Pa structure.

Cell lengths 3.3828, 3.3828, 9.2106 Å; angles 90.00, 90.00, 90.00 degrees
With the nearest neighbours (Å) after each atom.
Positions (direct):
1 Pa 0.5000 0.5000 0.5000  8 Tm 3.31, 4 Pa 3.38
2 Li 0.5000 0.5000 0.0000  8 Tm 3.33, 4 Li 3.38
3 Tm 0.0000 0.0000 0.7489  4 Pa 3.31, 4 Li 3.33, 4 Tm 3.38
4 Tm 0.0000 0.0000 0.2511  4 Pa 3.31, 4 Li 3.33, 4 Tm 3.38

- Magnetic moment: 0.0 Bohr magnetons per cell

=====

<Q> is the most stable structure; the next one sits 19.4 kJ/mol of atoms above it.